Entry 1:
Below is a relaxed structure of GeH3Ir, with properties calculated at the PBE level.

CIF file:
```
data_GeH3Ir
_space_group_name_H-M_alt 'P 1'
_space_group_IT_number 1
_cell_length_a 3.575
_cell_length_b 3.575
_cell_length_c 3.575
_cell_angle_alpha 90.00
_cell_angle_beta 90.00
_cell_angle_gamma 90.00
loop_
_space_group_symop_operation_xyz
'x,y,z'
loop_
_atom_site_label
_atom_site_type_symbol
_atom_site_fract_x
_atom_site_fract_y
_atom_site_fract_z
H1 H 0.000 0.500 0.000
H2 H 0.000 0.000 0.500
H3 H 0.500 0.000 0.000
Ge1 Ge 0.000 0.000 0.000
Ir1 Ir 0.500 0.500 0.500
```

Results
density of states at the Fermi level	2.4	states/eV/cell
energy	-3.498	eV per atom



Entry 2:
Below is a relaxed structure of Sr2AgOsN, with properties calculated at the PBE level.

CIF file:
```
data_Sr2AgOsN
_space_group_name_H-M_alt 'P 1'
_space_group_IT_number 1
_cell_length_a 5.487
_cell_length_b 5.487
_cell_length_c 3.806
_cell_angle_alpha 90.00
_cell_angle_beta 90.00
_cell_angle_gamma 90.00
loop_
_space_group_symop_operation_xyz
'x,y,z'
loop_
_atom_site_label
_atom_site_type_symbol
_atom_site_fract_x
_atom_site_fract_y
_atom_site_fract_z
Sr1 Sr 0.000 0.500 0.000
Sr2 Sr 0.500 0.000 0.000
Os1 Os 0.000 0.000 0.500
Ag1 Ag 0.500 0.500 0.500
N1 N 0.000 0.000 0.000
```

Results
density of states at the Fermi level	1.7	states/eV/cell
energy	-5.483	eV per atom



Entry 3:
Below is a relaxed structure of Mg2ReMo, with properties calculated at the PBE level.

CIF file:
```
data_Mg2ReMo
_space_group_name_H-M_alt 'P 1'
_space_group_IT_number 1
_cell_length_a 9.745
_cell_length_b 9.745
_cell_length_c 9.745
_cell_angle_alpha 16.71
_cell_angle_beta 16.71
_cell_angle_gamma 16.71
loop_
_space_group_symop_operation_xyz
'x,y,z'
loop_
_atom_site_label
_atom_site_type_symbol
_atom_site_fract_x
_atom_site_fract_y
_atom_site_fract_z
Mg1 Mg 0.002 0.002 0.002
Mg2 Mg 0.498 0.498 0.498
Mo1 Mo 0.250 0.250 0.250
Re1 Re 0.750 0.750 0.750
```

Results
formation energy from the elements	0.424	eV/atom
density of states at the Fermi level	4.4	states/eV/cell



Entry 4:
Below is a relaxed structure of Li3AlGa2, with properties calculated at the PBE level.

CIF file:
```
data_Li3AlGa2
_space_group_name_H-M_alt 'P 1'
_space_group_IT_number 1
_cell_length_a 3.931
_cell_length_b 5.762
_cell_length_c 8.472
_cell_angle_alpha 95.01
_cell_angle_beta 90.00
_cell_angle_gamma 90.00
loop_
_space_group_symop_operation_xyz
'x,y,z'
loop_
_atom_site_label
_atom_site_type_symbol
_atom_site_fract_x
_atom_site_fract_y
_atom_site_fract_z
Li1 Li 0.750 0.127 0.586
Li2 Li 0.250 0.873 0.414
Li3 Li 0.750 0.621 0.257
Li4 Li 0.250 0.379 0.743
Li5 Li 0.250 0.368 0.089
Li6 Li 0.750 0.632 0.911
Al1 Al 0.250 0.881 0.759
Al2 Al 0.750 0.119 0.241
Ga1 Ga 0.250 0.370 0.415
Ga2 Ga 0.750 0.630 0.585
Ga3 Ga 0.750 0.134 0.920
Ga4 Ga 0.250 0.866 0.080
```

Results
formation energy from the elements	-0.233	eV/atom
density of states at the Fermi level	3.8	states/eV/cell



Entry 5:
Below is a relaxed structure of Cs5In2O, with properties calculated at the PBE level.

CIF file:
```
data_Cs5In2O
_space_group_name_H-M_alt 'P 1'
_space_group_IT_number 1
_cell_length_a 6.434
_cell_length_b 8.468
_cell_length_c 8.468
_cell_angle_alpha 81.68
_cell_angle_beta 67.65
_cell_angle_gamma 67.65
loop_
_space_group_symop_operation_xyz
'x,y,z'
loop_
_atom_site_label
_atom_site_type_symbol
_atom_site_fract_x
_atom_site_fract_y
_atom_site_fract_z
Cs1 Cs 0.788 0.000 0.354
Cs2 Cs 0.142 0.646 0.000
Cs3 Cs 0.788 0.354 0.000
Cs4 Cs 0.142 0.000 0.646
Cs5 Cs 0.464 0.000 0.000
In1 In 0.718 0.500 0.500
In2 In 0.218 0.500 0.500
O1 O 0.965 0.000 0.000
```

Results
density of states at the Fermi level	5.0	states/eV/cell
energy	-2.178	eV per atom



Entry 6:
Below is a relaxed structure of SmY5Ho7, with properties calculated at the PBE level.

CIF file:
```
data_SmY5Ho7
_space_group_name_H-M_alt 'P 1'
_space_group_IT_number 1
_cell_length_a 6.727
_cell_length_b 8.681
_cell_length_c 8.681
_cell_angle_alpha 79.38
_cell_angle_beta 67.20
_cell_angle_gamma 67.20
loop_
_space_group_symop_operation_xyz
'x,y,z'
loop_
_atom_site_label
_atom_site_type_symbol
_atom_site_fract_x
_atom_site_fract_y
_atom_site_fract_z
Sm1 Sm 0.969 0.031 0.031
Y1 Y 0.536 0.006 0.458
Y2 Y 0.001 0.006 0.458
Y3 Y 0.536 0.458 0.006
Y4 Y 0.001 0.458 0.006
Y5 Y 0.770 0.730 0.730
Ho1 Ho 0.574 0.426 0.426
Ho2 Ho 0.271 0.729 0.729
Ho3 Ho 0.019 0.310 0.652
Ho4 Ho 0.019 0.652 0.310
Ho5 Ho 0.268 0.232 0.232
Ho6 Ho 0.519 0.811 0.152
Ho7 Ho 0.519 0.152 0.811
```

Results
formation energy from the elements	0.270	eV/atom
density of states at the Fermi level	25.9	states/eV/cell



Entry 7:
Below is a relaxed structure of GaPdW2, with properties calculated at the PBE level.

CIF file:
```
data_GaPdW2
_space_group_name_H-M_alt 'P 1'
_space_group_IT_number 1
_cell_length_a 7.112
_cell_length_b 7.112
_cell_length_c 5.690
_cell_angle_alpha 51.32
_cell_angle_beta 51.32
_cell_angle_gamma 90.00
loop_
_space_group_symop_operation_xyz
'x,y,z'
loop_
_atom_site_label
_atom_site_type_symbol
_atom_site_fract_x
_atom_site_fract_y
_atom_site_fract_z
Ga1 Ga 0.500 0.500 0.000
Ga2 Ga 0.250 0.750 0.500
Pd1 Pd 0.000 0.000 0.000
Pd2 Pd 0.750 0.250 0.500
W1 W 0.622 0.125 0.250
W2 W 0.128 0.625 0.250
W3 W 0.375 0.378 0.750
W4 W 0.875 0.872 0.750
```

Results
formation energy from the elements	0.708	eV/atom
density of states at the Fermi level	5.6	states/eV/cell



Entry 8:
Below is a relaxed structure of Fe3TeI9, with properties calculated at the PBE level.

CIF file:
```
data_Fe3TeI9
_space_group_name_H-M_alt 'P 1'
_space_group_IT_number 1
_cell_length_a 7.472
_cell_length_b 10.532
_cell_length_c 12.850
_cell_angle_alpha 90.00
_cell_angle_beta 89.51
_cell_angle_gamma 90.00
loop_
_space_group_symop_operation_xyz
'x,y,z'
loop_
_atom_site_label
_atom_site_type_symbol
_atom_site_fract_x
_atom_site_fract_y
_atom_site_fract_z
Fe1 Fe 0.000 0.000 0.000
Fe2 Fe 0.000 0.500 0.000
Fe3 Fe 0.494 0.504 0.745
Fe4 Fe 0.494 0.996 0.745
Fe5 Fe 0.506 0.004 0.255
Fe6 Fe 0.506 0.496 0.255
Te1 Te 0.955 0.250 0.622
Te2 Te 0.045 0.750 0.378
I1 I 0.123 0.250 0.986
I2 I 0.161 0.940 0.801
I3 I 0.161 0.560 0.801
I4 I 0.261 0.963 0.423
I5 I 0.261 0.537 0.423
I6 I 0.368 0.250 0.691
I7 I 0.323 0.933 0.097
I8 I 0.323 0.567 0.097
I9 I 0.404 0.250 0.296
I10 I 0.596 0.750 0.704
I11 I 0.677 0.067 0.903
I12 I 0.677 0.433 0.903
I13 I 0.632 0.750 0.309
I14 I 0.739 0.037 0.577
I15 I 0.739 0.463 0.577
I16 I 0.839 0.060 0.199
I17 I 0.839 0.440 0.199
I18 I 0.877 0.750 0.014
```

Results
density of states at the Fermi level	23.5	states/eV/cell
energy	-3.242	eV per atom



Entry 9:
Below is a relaxed structure of SrHgW2, with properties calculated at the PBE level.

CIF file:
```
data_SrHgW2
_space_group_name_H-M_alt 'P 1'
_space_group_IT_number 1
_cell_length_a 5.882
_cell_length_b 5.882
_cell_length_c 2.795
_cell_angle_alpha 90.00
_cell_angle_beta 90.00
_cell_angle_gamma 120.70
loop_
_space_group_symop_operation_xyz
'x,y,z'
loop_
_atom_site_label
_atom_site_type_symbol
_atom_site_fract_x
_atom_site_fract_y
_atom_site_fract_z
Hg1 Hg 0.500 0.000 0.500
Sr1 Sr 0.000 0.500 0.500
W1 W 0.000 0.000 0.000
W2 W 0.500 0.500 0.000
```

Results
formation energy from the elements	1.232	eV/atom
density of states at the Fermi level	3.3	states/eV/cell



Entry 10:
Below is a relaxed structure of CoBiS, with properties calculated at the PBE level.

CIF file:
```
data_CoBiS
_space_group_name_H-M_alt 'P 1'
_space_group_IT_number 1
_cell_length_a 6.863
_cell_length_b 7.272
_cell_length_c 5.543
_cell_angle_alpha 112.62
_cell_angle_beta 90.00
_cell_angle_gamma 90.00
loop_
_space_group_symop_operation_xyz
'x,y,z'
loop_
_atom_site_label
_atom_site_type_symbol
_atom_site_fract_x
_atom_site_fract_y
_atom_site_fract_z
S1 S 0.409 0.309 0.656
S2 S 0.909 0.691 0.844
S3 S 0.591 0.691 0.344
S4 S 0.091 0.309 0.156
Co1 Co 0.250 0.138 0.820
Co2 Co 0.750 0.862 0.680
Co3 Co 0.750 0.862 0.180
Co4 Co 0.250 0.138 0.320
Bi1 Bi 0.381 0.795 0.897
Bi2 Bi 0.881 0.205 0.603
Bi3 Bi 0.619 0.205 0.103
Bi4 Bi 0.119 0.795 0.397
```

Results
density of states at the Fermi level	11.1	states/eV/cell
energy	-5.096	eV per atom



- Which of these has the highest density of states at the Fermi level?
  SmY5Ho7



- The lowest density of states at the Fermi level belongs to which entry?
  Sr2AgOsN



Repeat the second record exactly.
Below is a relaxed structure of Sr2AgOsN, with properties calculated at the PBE level.

CIF file:
```
data_Sr2AgOsN
_space_group_name_H-M_alt 'P 1'
_space_group_IT_number 1
_cell_length_a 5.487
_cell_length_b 5.487
_cell_length_c 3.806
_cell_angle_alpha 90.00
_cell_angle_beta 90.00
_cell_angle_gamma 90.00
loop_
_space_group_symop_operation_xyz
'x,y,z'
loop_
_atom_site_label
_atom_site_type_symbol
_atom_site_fract_x
_atom_site_fract_y
_atom_site_fract_z
Sr1 Sr 0.000 0.500 0.000
Sr2 Sr 0.500 0.000 0.000
Os1 Os 0.000 0.000 0.500
Ag1 Ag 0.500 0.500 0.500
N1 N 0.000 0.000 0.000
```

Results
density of states at the Fermi level	1.7	states/eV/cell
energy	-5.483	eV per atom